Computed, not measured: a PBEsol-optimized structure of NaCd2Pt at the SCAN level of DFT.

Cell: 4.6898 4.6898 4.6898 Å, 60.00 60.00 60.00°
Last column: nearest neighbours and their distance in Å.
Sites, in units of the cell vectors:
Na1 0.0000 0.0000 0.0000  8 Cd 2.87
Cd1 0.2500 0.2500 0.2500  4 Na 2.87, 4 Pt 2.87
Cd2 0.7500 0.7500 0.7500  4 Pt 2.87, 4 Na 2.87
Pt1 0.5000 0.5000 0.5000  8 Cd 2.87

Summary:
As for the total magnetic moment: 0.00 μB/f.u. Its density of states at the Fermi level is 1.61 states/eV per cell. The space group is Fm-3m, No. 225. For the final energy, the calculation gives -136.51 eV per cell. For the formation energy from the elements, the calculation gives -319 meV per atom.

---

Computed, not measured: a PBEsol-optimized structure of MgInCl2 at the SCAN level of DFT.

Cell: 5.0916 5.0916 5.0916 Å, 60.00 60.00 60.00°
Last column: nearest neighbours and their distance in Å.
Sites, in units of the cell vectors:
Mg1 0.0000 0.0000 0.0000  4 Cl 3.12, 4 In 3.12
In1 0.2500 0.2500 0.2500  4 Cl 3.12, 4 Mg 3.12
Cl1 0.5000 0.5000 0.5000  4 In 3.12, 4 Cl 3.12
Cl2 0.7500 0.7500 0.7500  4 Cl 3.12, 4 Mg 3.12

Summary:
As for the total magnetic moment: 0.91 μB/f.u. As for the energy relative to the elements, uncorrected: -481 meV per atom. Its density of states at the Fermi level is 0.55 states/eV per cell. The space group is F-43m, No. 216. For the final energy, the calculation gives -56.24 eV per cell. The value obtained for the energy above the most stable polymorph in this dataset is 86.8 kJ per mole of atoms.

---

Computed, not measured: a PBEsol-optimized structure of Mn2BeAlW at the SCAN level of DFT.

Cell: 4.3160 4.3160 4.5979 Å, 90.00 90.00 90.00°
Last column: nearest neighbours and their distance in Å.
Sites, in units of the cell vectors:
Mn1 0.0000 0.5000 0.0000  2 Al 2.16
Mn2 0.5000 0.0000 0.0000  2 Al 2.16
Be1 0.0000 0.0000 0.5000  4 W 3.05, 8 Mn 3.15
Al1 0.5000 0.5000 0.0000  4 Mn 2.16, 2 W 2.30
W1 0.5000 0.5000 0.5000  2 Al 2.30

Summary:
As for the total magnetic moment: 7.68 μB/f.u. Its density of states at the Fermi level is 2.83 states/eV per cell. The space group is P4/mmm, No. 123. For the final energy, the calculation gives -111.22 eV per cell. For the formation energy from the elements, the calculation gives 1417 meV per atom.